# 1
An optimized crystal structure of Na4Ir3PtS8. Source: Alexandria, functional GGA-PBE.

For the uncorrected formation energy, the calculation gives -639 meV/atom. The spin magnetization comes out at 0.0 μB/cell. The total DFT energy (no corrections) comes out at -243.4 eV/cell. The calculation puts the volume at 884.4 Å³ per cell.

Structure (CIF):
```
data_Na4Ir3PtS8
_chemical_formula_sum 'Na12 Ir9 Pt3 S24'
_space_group_name_H-M_alt 'R -3 m'
_space_group_IT_number 166
_space_group_name_Hall '-R 3 2"'
_cell_length_a 7.3777
_cell_length_b 7.3777
_cell_length_c 18.7595
_cell_angle_alpha 90.00
_cell_angle_beta 90.00
_cell_angle_gamma 120.00
loop_
_atom_site_label
_atom_site_type_symbol
_atom_site_fract_x
_atom_site_fract_y
_atom_site_fract_z
Na1 Na 0.0000 0.0000 0.0000
Na2 Na 0.0000 0.5000 0.0000
Ir1 Ir 0.0000 0.5000 0.5000
Pt1 Pt 0.0000 0.0000 0.5000
S1 S 0.0000 0.0000 0.2281
S2 S 0.0083 0.5042 0.7711
```


# 2
An optimized crystal structure of Nd2Dy5Er12. Source: Alexandria, functional GGA-PBE.

The spin magnetization comes out at 0.0 μB/cell. The energy of formation comes out at 0.4 eV per formula unit. Its energy relative to the lowest polymorph listed for this composition is 0 meV/atom. The total DFT energy (no corrections) comes out at -86.9 eV/cell. The calculation puts the volume at 592.3 Å³ per cell.

Structure (CIF):
```
data_Nd2Dy5Er12
_chemical_formula_sum 'Nd2 Dy5 Er12'
_space_group_name_H-M_alt 'P -1'
_space_group_IT_number 2
_space_group_name_Hall '-P 1'
_cell_length_a 6.1180
_cell_length_b 9.3571
_cell_length_c 10.5931
_cell_angle_alpha 101.02
_cell_angle_beta 95.55
_cell_angle_gamma 90.11
loop_
_atom_site_label
_atom_site_type_symbol
_atom_site_fract_x
_atom_site_fract_y
_atom_site_fract_z
Nd1 Nd 0.0793 0.3149 0.4733
Dy1 Dy 0.2379 0.9474 0.4204
Dy2 Dy 0.3418 0.3682 0.0519
Dy3 Dy 0.5000 0.0000 0.0000
Er1 Er 0.0260 0.1046 0.1562
Er2 Er 0.1319 0.5259 0.7914
Er3 Er 0.1843 0.7368 0.1044
Er4 Er 0.2897 0.1575 0.7384
Er5 Er 0.3954 0.5794 0.3670
Er6 Er 0.4473 0.7904 0.6858
```


# 3
An optimized crystal structure of In2TcAs. Source: Alexandria, functional GGA-PBE.

The spin magnetization comes out at 0.0 μB/cell. The energy of formation comes out at 0.2 eV per formula unit. The total DFT energy (no corrections) comes out at -61.0 eV/cell. The calculation puts the volume at 259.2 Å³ per cell.

Structure (CIF):
```
data_In2TcAs
_chemical_formula_sum 'In6 Tc3 As3'
_space_group_name_H-M_alt 'R 3 m'
_space_group_IT_number 160
_space_group_name_Hall 'R 3 -2"'
_cell_length_a 3.1815
_cell_length_b 3.1815
_cell_length_c 29.5665
_cell_angle_alpha 90.00
_cell_angle_beta 90.00
_cell_angle_gamma 120.00
loop_
_atom_site_label
_atom_site_type_symbol
_atom_site_fract_x
_atom_site_fract_y
_atom_site_fract_z
In1 In 0.0000 0.0000 0.0000
In2 In 0.0000 0.0000 0.2390
Tc1 Tc 0.0000 0.0000 0.7423
As1 As 0.0000 0.0000 0.4650
```


# 4
An optimized crystal structure of LiBe2Re. Source: Alexandria, functional GGA-PBE.

The spin magnetization comes out at 0.0 μB/cell. The energy of formation comes out at 1.0 eV per formula unit. Its energy relative to the lowest polymorph listed for this composition is 258 meV/atom. The total DFT energy (no corrections) comes out at -41.7 eV/cell. The calculation puts the volume at 95.7 Å³ per cell.

Structure (CIF):
```
data_LiBe2Re
_chemical_formula_sum 'Li2 Be4 Re2'
_space_group_name_H-M_alt 'C m m 2'
_space_group_IT_number 35
_space_group_name_Hall 'C 2 -2'
_cell_length_a 3.1750
_cell_length_b 3.8976
_cell_length_c 7.7347
_cell_angle_alpha 90.00
_cell_angle_beta 90.00
_cell_angle_gamma 90.00
loop_
_atom_site_label
_atom_site_type_symbol
_atom_site_fract_x
_atom_site_fract_y
_atom_site_fract_z
Li1 Li 0.0000 0.0000 0.0000
Be1 Be 0.0000 0.0000 0.5317
Be2 Be 0.0000 0.5000 0.7346
Re1 Re 0.0000 0.5000 0.2906
```


# 5
An optimized crystal structure of CaCrI2. Source: Alexandria, functional GGA-PBE.

For the uncorrected formation energy, the calculation gives -226 meV/atom. The spin magnetization comes out at 13.7 μB/cell. Its energy relative to the lowest polymorph listed for this composition is 40 meV/atom. The total DFT energy (no corrections) comes out at -46.9 eV/cell. The calculation puts the volume at 450.1 Å³ per cell.

Structure (CIF):
```
data_CaCrI2
_chemical_formula_sum 'Ca3 Cr3 I6'
_space_group_name_H-M_alt 'R -3 m'
_space_group_IT_number 166
_space_group_name_Hall '-R 3 2"'
_cell_length_a 4.2622
_cell_length_b 4.2622
_cell_length_c 28.6092
_cell_angle_alpha 90.00
_cell_angle_beta 90.00
_cell_angle_gamma 120.00
loop_
_atom_site_label
_atom_site_type_symbol
_atom_site_fract_x
_atom_site_fract_y
_atom_site_fract_z
Ca1 Ca 0.0000 0.0000 0.0000
Cr1 Cr 0.0000 0.0000 0.5000
I1 I 0.0000 0.0000 0.1096
```


# 6
An optimized crystal structure of Tm3Ge4Ir2. Source: Alexandria, functional GGA-PBE.

The spin magnetization comes out at 0.0 μB/cell. The energy of formation comes out at -7.3 eV per formula unit. Its energy relative to the lowest polymorph listed for this composition is 0 meV/atom. The total DFT energy (no corrections) comes out at -113.8 eV/cell. The calculation puts the volume at 349.9 Å³ per cell.

Structure (CIF):
```
data_Tm3Ge4Ir2
_chemical_formula_sum 'Tm6 Ge8 Ir4'
_space_group_name_H-M_alt 'C 1 2/m 1'
_space_group_IT_number 12
_space_group_name_Hall '-C 2y'
_cell_length_a 10.6429
_cell_length_b 4.2876
_cell_length_c 8.1249
_cell_angle_alpha 90.00
_cell_angle_beta 109.30
_cell_angle_gamma 90.00
loop_
_atom_site_label
_atom_site_type_symbol
_atom_site_fract_x
_atom_site_fract_y
_atom_site_fract_z
Tm1 Tm 0.0000 0.0000 0.0000
Tm2 Tm 0.1270 0.5000 0.6971
Ge1 Ge 0.0824 0.0000 0.3965
Ge2 Ge 0.2079 0.5000 0.0721
Ir1 Ir 0.1862 0.5000 0.3669
```


# 7
An optimized crystal structure of Tb2HoCu. Source: Alexandria, functional GGA-PBE.

The spin magnetization comes out at 0.0 μB/cell. The energy of formation comes out at -0.4 eV per formula unit. Its energy relative to the lowest polymorph listed for this composition is 13 meV/atom. The total DFT energy (no corrections) comes out at -18.3 eV/cell. The calculation puts the volume at 105.8 Å³ per cell.

Structure (CIF):
```
data_Tb2HoCu
_chemical_formula_sum 'Tb2 Ho1 Cu1'
_space_group_name_H-M_alt 'P 4/m m m'
_space_group_IT_number 123
_space_group_name_Hall '-P 4 2'
_cell_length_a 3.5066
_cell_length_b 3.5066
_cell_length_c 8.6063
_cell_angle_alpha 90.00
_cell_angle_beta 90.00
_cell_angle_gamma 90.00
loop_
_atom_site_label
_atom_site_type_symbol
_atom_site_fract_x
_atom_site_fract_y
_atom_site_fract_z
Tb1 Tb 0.0000 0.0000 0.2001
Ho1 Ho 0.5000 0.5000 0.5000
Cu1 Cu 0.5000 0.5000 0.0000
```


# 8
An optimized crystal structure of DyHo3Tm3S8. Source: Alexandria, functional GGA-PBE.

For the uncorrected formation energy, the calculation gives -2027 meV/atom. The spin magnetization comes out at 0.0 μB/cell. The total DFT energy (no corrections) comes out at -285.5 eV/cell. The calculation puts the volume at 974.7 Å³ per cell.

Structure (CIF):
```
data_DyHo3Tm3S8
_chemical_formula_sum 'Dy3 Ho9 Tm9 S24'
_space_group_name_H-M_alt 'R -3 m'
_space_group_IT_number 166
_space_group_name_Hall '-R 3 2"'
_cell_length_a 7.7135
_cell_length_b 7.7135
_cell_length_c 18.9156
_cell_angle_alpha 90.00
_cell_angle_beta 90.00
_cell_angle_gamma 120.00
loop_
_atom_site_label
_atom_site_type_symbol
_atom_site_fract_x
_atom_site_fract_y
_atom_site_fract_z
Dy1 Dy 0.0000 0.0000 0.0000
Ho1 Ho 0.0000 0.5000 0.5000
Tm1 Tm 0.0000 0.5000 0.0000
S1 S 0.0000 0.0000 0.2512
S2 S 0.0055 0.5028 0.2499
```